VASP calculation (PBE-GGA) on crystalline ZrSc2Br at its relaxed geometry.

- formation energy from raw total energies (kcal/mol of atoms) = -9.77
- energy (eV/atom) = -6.145
- total moment (μB/atom) = 0.00
- symmetry = No. 10

Lattice parameters (Å, degrees): 3.314 3.384 8.864 89.87 90.00 90.00
Fractional coordinates of all 4 atoms:
Zr: 0.500 0.250 0.250
Sc: 0.000 0.752 0.012
Br: 0.500 0.750 0.750
Sc: 0.000 0.748 0.488